Material: SmEr6Cd2
Method: DFT, PBE
State: optimized geometry

Lattice parameters (Å, degrees): 6.541 6.541 11.803 107.50 107.50 32.92
Positions (direct):
Sm: 0.000 0.000 0.000
Er: 0.014 0.014 0.342
Er: 0.313 0.313 0.418
Er: 0.316 0.316 0.124
Er: 0.684 0.684 0.876
Er: 0.687 0.687 0.582
Er: 0.986 0.986 0.658
Cd: 0.351 0.351 0.785
Cd: 0.649 0.649 0.215

Values from the calculation:
* energy of formation: -1.1 eV per formula unit
* final energy: -35.042 eV for the cell shown
* D(E_F): 1.0976 states/eV per atom
* V: 260.6 Å³/cell
* symmetry: No. 12